Record 1
TmCdBr6: relaxed, GGA-PBE.

- Formation energy without anion corrections: -1.09 eV per atom
- Theoretical density: 4.923 Mg/m³
- Fermi-level density of states: 14.2 states/eV/f.u.
- Energy: -3.013 eV/atom
- Space group: No. 2

Lattice parameters (Å, degrees): 6.943 6.937 7.359 61.52 61.72 60.00
Fractional positions:
Tm: 0.500 0.500 0.500
Br: 0.255 0.921 0.249
Br: 0.745 0.079 0.751
Br: 0.921 0.574 0.252
Br: 0.575 0.254 0.252
Br: 0.425 0.746 0.748
Br: 0.079 0.426 0.748
Cd: 0.000 0.000 0.000

=====

Record 2
V2CdBr8: relaxed, GGA-PBE.

- Formation energy without anion corrections: -0.77 eV per atom
- Theoretical density: 3.268 Mg/m³
- Energy: -3.726 eV/atom
- Space group: No. 12

Lattice parameters (Å, degrees): 6.684 8.095 8.095 83.08 86.83 86.83
Fractional positions:
Br: 0.769 0.720 0.063
Br: 0.243 0.395 0.395
Br: 0.231 0.937 0.280
Br: 0.723 0.202 0.202
Br: 0.769 0.063 0.720
Br: 0.757 0.605 0.605
Br: 0.277 0.798 0.798
Br: 0.231 0.280 0.937
V: 0.365 0.210 0.210
V: 0.635 0.790 0.790
Cd: 0.000 0.000 0.000

=====

Question: energy of number 1 (TmCdBr6)?
Answer: -3.013 eV/atom